# 1
! TeSN2F (PBE, relaxed); values from VASP
! - Energy above the most stable polymorph in this dataset: 4.92 eV/f.u.
! - Formation energy from raw total energies: 2.087 eV per atom
! - M_tot: 5.24 μB per formula unit
! - N(E_F): 2.523 states/eV/cell
! - Uncorrected energy: -3.0713 eV/atom
! - Symmetry: P4/mmm
&SYSTEM
  ibrav = 0, nat = 5, ntyp = 4
/
ATOMIC_SPECIES
Te 127.60 Te.upf
S 32.06 S.upf
N 14.01 N.upf
F 19.00 F.upf
CELL_PARAMETERS angstrom
4.510 0.000 0.000
0.000 4.510 0.000
0.000 0.000 4.359
ATOMIC_POSITIONS angstrom
Te 0.000 0.000 0.000
S 2.255 2.255 0.000
N 0.000 2.255 2.180
N 2.255 0.000 2.180
F 0.000 0.000 2.180



# 2
! Y2TeP2 (PBE, relaxed); values from VASP
! - Energy above the most stable polymorph in this dataset: 1.26 eV/f.u.
! - Formation energy from raw total energies: -0.951 eV per atom
! - M_tot: 0.00 μB per formula unit
! - N(E_F): 3.686 states/eV/cell
! - Uncorrected energy: -6.3293 eV/atom
! - Symmetry: P4/mbm
&SYSTEM
  ibrav = 0, nat = 10, ntyp = 3
/
ATOMIC_SPECIES
Y 88.91 Y.upf
Te 127.60 Te.upf
P 30.97 P.upf
CELL_PARAMETERS angstrom
7.795 0.000 0.000
0.000 7.795 0.000
0.000 0.000 3.738
ATOMIC_POSITIONS angstrom
Y 1.274 2.624 0.000
Y 2.624 6.521 0.000
Y 5.171 1.274 0.000
Y 6.521 5.171 0.000
Te 0.000 0.000 1.869
Te 3.897 3.897 1.869
P 1.074 4.972 1.869
P 2.823 1.074 1.869
P 4.972 6.720 1.869
P 6.720 2.823 1.869